Record 1
32
Lattice="10.0304 0.0000 0.0000 0.0000 6.5239 0.0000 -0.8014 0.0000 8.8116" Properties=species:S:1:pos:R:3 comment="GGA-PBE Pr2SiTeO4, relaxed" magmom_total_mub_per_fu=0.00 polymorph_energy_ev_per_atom=0.006 energy_ev_per_atom=-7.606 raw_formation_energy_ev_per_atom=-2.861 pbc="T T T"
Pr 0.8936 0.9921 1.7195
Pr 0.4929 2.2698 6.1252
Pr 3.2093 4.5398 2.9721
Pr 2.8086 5.2462 7.3779
Pr 6.4203 1.2778 1.4337
Pr 6.0196 1.9842 5.8395
Pr 8.7360 4.2541 2.6863
Pr 8.3353 5.5318 7.0921
Si 1.2146 4.5044 0.5091
Si 0.8139 5.2815 4.9149
Si 8.4150 1.2425 3.8967
Si 8.0143 2.0195 8.3025
Te 3.7867 1.3922 3.3559
Te 3.3860 1.8698 7.7616
Te 5.8430 4.6541 1.0499
Te 5.4423 5.1318 5.4557
O -0.5607 1.2626 8.1243
O -0.1600 1.9993 3.7185
O 0.5613 4.1287 7.7343
O 0.9620 5.6572 3.3285
O 1.4053 3.3325 1.6252
O 1.0046 6.4534 6.0310
O 2.0141 4.1788 5.2198
O 2.4148 5.6071 0.8141
O 6.8141 0.9168 7.9975
O 7.2148 2.3451 3.5917
O 8.2244 0.0705 2.7806
O 7.8237 3.1914 7.1864
O 8.2670 0.8668 5.4831
O 8.6677 2.3952 1.0773
O 9.3890 4.5246 5.0930
O 9.7897 5.2613 0.6872


Record 2
16
Lattice="4.2884 2.4759 7.3595 -4.2884 2.4759 7.3595 0.0000 -4.9518 7.3595" Properties=species:S:1:pos:R:3 comment="GGA-PBE Pr8Si3Te4O, relaxed" magmom_total_mub_per_fu=0.00 energy_ev_per_atom=-5.799 raw_formation_energy_ev_per_atom=-1.297 pbc="T T T"
Pr 0.0000 0.0000 5.3435
Pr -2.0748 -1.1979 12.6011
Pr 0.0000 -2.3958 9.4773
Pr -2.0748 1.1979 9.4773
Pr 2.0748 -1.1979 12.6011
Pr 0.0000 2.3958 12.6011
Pr 2.0748 1.1979 9.4773
Pr 0.0000 0.0000 16.7349
Si -4.2884 0.0000 11.0392
Si -2.1442 1.2380 3.6797
Si 2.1442 1.2380 3.6797
Te 0.0000 0.0000 0.0000
Te -2.1442 -1.2380 7.3595
Te -2.1442 1.2380 14.7189
Te 0.0000 2.4759 7.3595
O 0.0000 0.0000 11.0392


Record 3
32
Lattice="6.4016 0.0000 0.0000 0.0000 7.3196 0.0000 0.0000 0.0000 11.3538" Properties=species:S:1:pos:R:3 comment="GGA-PBE Pr2SiTeO4, relaxed" magmom_total_mub_per_fu=0.00 polymorph_energy_ev_per_atom=0.000 energy_ev_per_atom=-7.612 raw_formation_energy_ev_per_atom=-2.867 pbc="T T T"
Pr 0.7173 1.8299 0.0000
Pr 0.7173 1.8299 5.6769
Pr 2.4783 3.9551 2.8385
Pr 2.4783 7.0244 8.5154
Pr 3.9234 0.2952 2.8385
Pr 3.9234 3.3646 8.5154
Pr 5.6844 5.4897 0.0000
Pr 5.6844 5.4897 5.6769
Si 2.4693 5.4897 0.0000
Si 2.4693 5.4897 5.6769
Si 3.9324 1.8299 0.0000
Si 3.9324 1.8299 5.6769
Te 0.6192 4.2136 8.5154
Te 0.6192 6.7658 2.8385
Te 5.7825 0.5538 8.5154
Te 5.7825 3.1060 2.8385
O 1.4816 4.2341 0.4068
O 1.4816 4.2341 5.2701
O 1.4816 6.7453 6.0837
O 1.4816 6.7453 10.9470
O 2.9019 1.6796 6.9776
O 2.9019 1.6796 10.0531
O 2.9019 1.9802 1.3007
O 2.9019 1.9802 4.3762
O 3.4997 5.3394 6.9776
O 3.4997 5.3394 10.0531
O 3.4997 5.6400 1.3007
O 3.4997 5.6400 4.3762
O 4.9200 0.5743 0.4068
O 4.9200 0.5743 5.2701
O 4.9200 3.0855 6.0837
O 4.9200 3.0855 10.9470


Record 4
20
Lattice="4.0759 -6.0042 0.0000 4.0759 6.0042 0.0000 -0.0997 0.0000 7.3569" Properties=species:S:1:pos:R:3 comment="GGA-PBE PrTlSi2O6, relaxed" magmom_total_mub_per_fu=0.00 energy_ev_per_atom=-7.350 raw_formation_energy_ev_per_atom=-2.576 pbc="T T T"
Pr 4.0011 4.1385 5.5177
Pr 4.0510 -4.1385 1.8392
Tl 4.0510 1.1691 1.8392
Tl 4.0011 -1.1691 5.5177
Si 1.1665 1.4547 5.5347
Si 1.2163 -1.4547 1.8562
Si 6.8358 1.4547 5.5007
Si 6.8856 -1.4547 1.8223
O 2.2777 2.5922 5.5410
O 4.0672 4.3015 0.6502
O 4.0348 4.3015 3.0282
O 1.6452 0.0955 1.8678
O 1.5954 -0.0955 5.5463
O 5.7246 2.5922 5.4944
O 2.3275 -2.5922 1.8625
O 6.4567 0.0955 1.8107
O 6.4069 -0.0955 5.4891
O 4.0173 -4.3015 4.3287
O 3.9849 -4.3015 6.7067
O 5.7744 -2.5922 1.8159


Record 5
12
Lattice="-3.5403 3.5403 3.1306 3.5403 -3.5403 3.1306 3.5403 3.5403 -3.1306" Properties=species:S:1:pos:R:3 comment="GGA-PBE PrUSi2O8, relaxed" magmom_total_mub_per_fu=1.00 energy_ev_per_atom=-8.584 raw_formation_energy_ev_per_atom=-3.035 pbc="T T T"
Pr 0.0000 0.0000 0.0000
U 3.5403 0.0000 1.5653
Si 0.0000 0.0000 3.1306
Si 0.0000 3.5403 1.5653
O 2.2217 3.5403 -1.0103
O 1.3186 0.0000 2.1203
O 0.0000 2.3271 0.4594
O 3.5403 2.2217 1.0103
O 0.0000 4.7535 0.4594
O 0.0000 1.3186 4.1408
O -1.2132 3.5403 2.6712
O 1.2132 3.5403 2.6712


Record 6
12
Lattice="-3.4972 3.4972 3.0973 3.4972 -3.4972 3.0973 3.4972 3.4972 -3.0973" Properties=species:S:1:pos:R:3 comment="GGA-PBE PrZrSi2O8, relaxed" magmom_total_mub_per_fu=0.27 energy_ev_per_atom=-8.176 raw_formation_energy_ev_per_atom=-2.856 pbc="T T T"
Pr 0.0000 0.0000 0.0000
Zr 3.4972 0.0000 1.5487
Si 0.0000 0.0000 3.0973
Si 0.0000 3.4972 1.5487
O 2.1726 3.4972 -0.9950
O 1.3245 0.0000 2.1023
O 0.0000 2.3090 0.4236
O 3.4972 2.1726 0.9950
O 0.0000 4.6854 0.4236
O 0.0000 1.3245 4.0924
O -1.1882 3.4972 2.6738
O 1.1882 3.4972 2.6738